CdGe2NCl PBE optimized geometry; formation energy from raw total energies = 1.258 eV per atom; VASP energy = -2.8063 eV per atom; symmetry = No. 123
1.0
4.988 0.000 0.000
0.000 4.988 0.000
0.000 0.000 4.052
Cd Ge N Cl
1 2 1 1
Direct
0.000 0.000 0.000
0.000 0.500 0.500
0.500 0.000 0.500
0.500 0.500 0.000
0.500 0.500 0.500



Na2CdGeCl6 PBE optimized geometry; formation energy from raw total energies = -1.269 eV per atom; VASP energy = -3.1943 eV per atom; symmetry = No. 146
1.0
3.464 2.000 6.183
-3.464 2.000 6.183
0.000 -4.000 6.183
Na Cd Ge Cl
2 1 1 6
Direct
0.000 0.000 0.000
0.498 0.498 0.498
0.797 0.797 0.797
0.297 0.297 0.297
0.073 0.421 0.687
0.180 0.924 0.573
0.421 0.687 0.073
0.573 0.180 0.924
0.687 0.073 0.421
0.924 0.573 0.180



NbCdGe2Cl PBE optimized geometry; formation energy from raw total energies = 1.183 eV per atom; VASP energy = -3.2302 eV per atom; symmetry = No. 123
1.0
4.968 0.000 0.000
0.000 4.968 0.000
0.000 0.000 5.736
Nb Cd Ge Cl
1 1 2 1
Direct
0.000 0.000 0.000
0.000 0.000 0.500
0.000 0.500 0.500
0.500 0.000 0.500
0.500 0.500 0.000



CdGeP2Cl PBE optimized geometry; formation energy from raw total energies = 0.516 eV per atom; VASP energy = -3.1238 eV per atom; relative energy among the computed polymorphs = 0 meV/atom; symmetry = No. 123
1.0
4.801 0.000 0.000
0.000 4.801 0.000
0.000 0.000 4.927
Cd Ge P Cl
1 1 2 1
Direct
0.000 0.000 0.000
0.500 0.500 0.500
0.000 0.500 0.500
0.500 0.000 0.500
0.500 0.500 0.000



CdGeP2Cl PBE optimized geometry; formation energy from raw total energies = 0.863 eV per atom; VASP energy = -2.7764 eV per atom; relative energy among the computed polymorphs = 347 meV/atom; symmetry = No. 123
1.0
4.956 0.000 0.000
0.000 4.956 0.000
0.000 0.000 5.227
Cd Ge P Cl
1 1 2 1
Direct
0.000 0.000 0.000
0.500 0.500 0.500
0.000 0.500 0.000
0.500 0.000 0.000
0.000 0.000 0.500



CdGePbCl6 PBE optimized geometry; formation energy from raw total energies = -0.994 eV per atom; VASP energy = -3.2521 eV per atom; symmetry = No. 163
1.0
6.845 0.000 0.000
-3.422 5.928 0.000
0.000 0.000 12.687
Cd Ge Pb Cl
2 2 2 12
Direct
0.333 0.667 0.250
0.667 0.333 0.750
0.333 0.667 0.750
0.667 0.333 0.250
0.000 0.000 0.000
0.000 0.000 0.500
0.002 0.355 0.131
0.002 0.648 0.369
0.352 0.355 0.369
0.352 0.998 0.131
0.355 0.002 0.631
0.355 0.352 0.869
0.645 0.648 0.131
0.645 0.998 0.369
0.648 0.002 0.869
0.648 0.645 0.631
0.998 0.352 0.631
0.998 0.645 0.869